Record 1
Here is a relaxed structure of La2ScNiPb from Alexandria via LeMat-Bulk. Energies are from PBE.

abc: 5.3016 5.3016 5.1671
angles: 90.00 90.00 90.00
Closest atoms and distances in Å follow each position.
Atoms (fractional coordinates):
La: 0.0000 0.5000 0.0000  2 Ni 2.65
La: 0.5000 0.0000 0.0000  2 Ni 2.65
Pb: 0.5000 0.5000 0.5000  8 La 3.70, 4 Sc 3.75
Sc: 0.0000 0.0000 0.5000  2 Ni 2.58
Ni: 0.0000 0.0000 0.0000  2 Sc 2.58, 4 La 2.65

## Properties
Uncorrected energy: -5.47 eV per atom
DOS(E_F): 0.92 states/eV per atom

Record 2
Here is a relaxed structure of La2Ni4Sn3Pb from Alexandria via LeMat-Bulk. Energies are from PBE.

abc: 4.5310 4.5310 10.2783
angles: 90.00 90.00 90.00
Closest atoms and distances in Å follow each position.
Atoms (fractional coordinates):
Pb: 0.5000 0.5000 0.5000  4 Ni 2.65
Sn: 0.0000 0.0000 0.5000  4 Ni 2.65
Sn: 0.0000 0.5000 0.1217  5 Ni 2.52-2.59
Sn: 0.5000 0.0000 0.8783  5 Ni 2.52-2.59
La: 0.5000 0.0000 0.2355  8 Ni 3.32-3.48, 7 Sn 3.41-3.67, 2 Pb 3.54
La: 0.0000 0.5000 0.7645  8 Ni 3.32-3.48, 7 Sn 3.41-3.67, 2 Pb 3.54
Ni: 0.5000 0.5000 0.0000  4 Sn 2.59
Ni: 0.0000 0.5000 0.3670  3 Sn 2.52-2.65, 2 Pb 2.65
Ni: 0.5000 0.0000 0.6330  3 Sn 2.52-2.65, 2 Pb 2.65
Ni: 0.0000 0.0000 0.0000  4 Sn 2.59

## Properties
Uncorrected energy: -5.36 eV per atom
DOS(E_F): 0.67 states/eV per atom

Record 3
Here is a relaxed structure of LaNiSn2Pb from Alexandria via LeMat-Bulk. Energies are from PBE.

abc: 5.0225 5.0225 5.2827
angles: 90.00 90.00 90.00
Closest atoms and distances in Å follow each position.
Atoms (fractional coordinates):
Pb: 0.5000 0.5000 0.5000  4 La 3.55, 8 Sn 3.64
La: 0.0000 0.0000 0.5000  2 Ni 2.64
Sn: 0.5000 0.0000 0.0000  2 Ni 2.51
Sn: 0.0000 0.5000 0.0000  2 Ni 2.51
Ni: 0.0000 0.0000 0.0000  4 Sn 2.51, 2 La 2.64

## Properties
Uncorrected energy: -4.83 eV per atom
DOS(E_F): 0.64 states/eV per atom

Record 4
Here is a relaxed structure of SrLa2NiPb from Alexandria via LeMat-Bulk. Energies are from PBE.

abc: 5.3773 5.3773 5.7168
angles: 90.00 90.00 90.00
Closest atoms and distances in Å follow each position.
Atoms (fractional coordinates):
Sr: 0.0000 0.0000 0.5000  2 Ni 2.86
La: 0.5000 0.0000 0.0000  2 Ni 2.69
La: 0.0000 0.5000 0.0000  2 Ni 2.69
Ni: 0.0000 0.0000 0.0000  4 La 2.69, 2 Sr 2.86
Pb: 0.5000 0.5000 0.5000  4 Sr 3.80, 8 La 3.92

## Properties
Uncorrected energy: -4.49 eV per atom
DOS(E_F): 1.01 states/eV per atom

Record 5
Here is a relaxed structure of La2TaNiPb from Alexandria via LeMat-Bulk. Energies are from PBE.

abc: 6.0357 4.6624 6.0357
angles: 90.00 90.00 90.00
Closest atoms and distances in Å follow each position.
Atoms (fractional coordinates):
Pb: 0.0000 0.0000 0.0000  2 Ni 2.33
Ni: 0.0000 0.5000 0.0000  2 Pb 2.33
Ta: 0.5000 0.5000 0.5000  8 La 3.81, 4 Ni 4.27
La: 0.5000 0.0000 0.0000  2 Pb 3.02
La: 0.0000 0.0000 0.5000  2 Pb 3.02

## Properties
Uncorrected energy: -5.11 eV per atom
DOS(E_F): 0.92 states/eV per atom

Record 6
Here is a relaxed structure of LaTl2NiPb from Alexandria via LeMat-Bulk. Energies are from PBE.

abc: 5.1211 5.1211 5.2492
angles: 90.00 90.00 90.00
Closest atoms and distances in Å follow each position.
Atoms (fractional coordinates):
Pb: 0.5000 0.5000 0.5000  4 La 3.62, 8 Tl 3.67
La: 0.0000 0.0000 0.5000  2 Ni 2.62
Ni: 0.0000 0.0000 0.0000  4 Tl 2.56, 2 La 2.62
Tl: 0.0000 0.5000 0.0000  2 Ni 2.56
Tl: 0.5000 0.0000 0.0000  2 Ni 2.56

## Properties
Uncorrected energy: -4.04 eV per atom
DOS(E_F): 0.65 states/eV per atom

Record 7
Here is a relaxed structure of LaTlNiPb2 from Alexandria via LeMat-Bulk. Energies are from PBE.

abc: 5.1823 5.1823 5.2669
angles: 90.00 90.00 90.00
Closest atoms and distances in Å follow each position.
Atoms (fractional coordinates):
Tl: 0.5000 0.5000 0.5000  4 La 3.66, 8 Pb 3.69
Pb: 0.0000 0.5000 0.0000  2 Ni 2.59
Pb: 0.5000 0.0000 0.0000  2 Ni 2.59
Ni: 0.0000 0.0000 0.0000  4 Pb 2.59, 2 La 2.63
La: 0.0000 0.0000 0.5000  2 Ni 2.63

## Properties
Uncorrected energy: -4.29 eV per atom
DOS(E_F): 0.63 states/eV per atom

Record 8
Here is a relaxed structure of LaZn2NiPb from Alexandria via LeMat-Bulk. Energies are from PBE.

abc: 4.7258 4.7258 5.0186
angles: 90.00 90.00 90.00
Closest atoms and distances in Å follow each position.
Atoms (fractional coordinates):
Zn: 0.5000 0.0000 0.0000  2 Ni 2.36
Zn: 0.0000 0.5000 0.0000  2 Ni 2.36
Pb: 0.0000 0.0000 0.5000  2 Ni 2.51
Ni: 0.0000 0.0000 0.0000  4 Zn 2.36, 2 Pb 2.51
La: 0.5000 0.5000 0.5000  4 Pb 3.34, 8 Zn 3.45

## Properties
Uncorrected energy: -3.60 eV per atom
DOS(E_F): 0.48 states/eV per atom